1.
# PmTm5Tl8, optimized geometry, DFT PBE
data_PmTm5Tl8
_symmetry_space_group_name_H-M 'P 1'
_symmetry_Int_Tables_number 1
_cell_length_a 8.007
_cell_length_b 8.007
_cell_length_c 8.007
_cell_angle_alpha 110.49
_cell_angle_beta 110.49
_cell_angle_gamma 107.45
loop_
_symmetry_equiv_pos_as_xyz
'x,y,z'
loop_
_atom_site_label
_atom_site_fract_x
_atom_site_fract_y
_atom_site_fract_z
Pm1 0.000 0.000 0.000
Tm1 0.074 0.219 0.590
Tm2 0.250 0.750 0.500
Tm3 0.516 0.926 0.145
Tm4 0.629 0.484 0.410
Tm5 0.781 0.371 0.855
Tl1 0.069 0.635 0.764
Tl2 0.247 0.481 0.091
Tl3 0.365 0.129 0.435
Tl4 0.390 0.157 0.909
Tl5 0.519 0.610 0.766
Tl6 0.695 0.931 0.565
Tl7 0.843 0.753 0.234
Tl8 0.871 0.305 0.236
# Formation energy from the elements = -19.42 kJ per mole of atoms

---

2.
# CaLaOF2, optimized geometry, DFT PBE
data_CaLaOF2
_symmetry_space_group_name_H-M 'P 1'
_symmetry_Int_Tables_number 1
_cell_length_a 4.282
_cell_length_b 4.282
_cell_length_c 4.560
_cell_angle_alpha 90.00
_cell_angle_beta 90.00
_cell_angle_gamma 90.00
loop_
_symmetry_equiv_pos_as_xyz
'x,y,z'
loop_
_atom_site_label
_atom_site_fract_x
_atom_site_fract_y
_atom_site_fract_z
Ca1 0.000 0.000 0.000
La1 0.500 0.500 0.500
O1 0.000 0.000 0.500
F1 0.000 0.500 0.000
F2 0.500 0.000 0.000
# Energy above the lowest structure with this stoichiometry = 0.0 meV/atom
# E_form (uncorrected) = -2885 meV per atom

---

3.
# SnSb2TeP, optimized geometry, DFT PBE
data_SnSb2TeP
_symmetry_space_group_name_H-M 'P 1'
_symmetry_Int_Tables_number 1
_cell_length_a 5.646
_cell_length_b 5.646
_cell_length_c 5.557
_cell_angle_alpha 90.00
_cell_angle_beta 90.00
_cell_angle_gamma 90.00
loop_
_symmetry_equiv_pos_as_xyz
'x,y,z'
loop_
_atom_site_label
_atom_site_fract_x
_atom_site_fract_y
_atom_site_fract_z
Sn1 0.000 0.000 0.000
Sb1 0.000 0.500 0.000
Sb2 0.500 0.000 0.000
Te1 0.000 0.000 0.500
P1 0.500 0.500 0.500
# Energy above the lowest structure with this stoichiometry = 725.6 meV/atom
# E_form (uncorrected) = 1173 meV per atom

---

4.
# Cr2OsCl, optimized geometry, DFT PBE
data_Cr2OsCl
_symmetry_space_group_name_H-M 'P 1'
_symmetry_Int_Tables_number 1
_cell_length_a 5.185
_cell_length_b 5.185
_cell_length_c 4.078
_cell_angle_alpha 92.74
_cell_angle_beta 92.74
_cell_angle_gamma 31.75
loop_
_symmetry_equiv_pos_as_xyz
'x,y,z'
loop_
_atom_site_label
_atom_site_fract_x
_atom_site_fract_y
_atom_site_fract_z
Cr1 0.000 0.000 0.000
Cr2 0.692 0.692 0.286
Os1 0.274 0.274 0.845
Cl1 0.482 0.482 0.513
# Energy above the lowest structure with this stoichiometry = 329.9 meV/atom
# E_form (uncorrected) = 499 meV per atom

---

5.
# La2ScTlC, optimized geometry, DFT PBE
data_La2ScTlC
_symmetry_space_group_name_H-M 'P 1'
_symmetry_Int_Tables_number 1
_cell_length_a 5.306
_cell_length_b 5.306
_cell_length_c 4.592
_cell_angle_alpha 90.00
_cell_angle_beta 90.00
_cell_angle_gamma 90.00
loop_
_symmetry_equiv_pos_as_xyz
'x,y,z'
loop_
_atom_site_label
_atom_site_fract_x
_atom_site_fract_y
_atom_site_fract_z
La1 0.000 0.500 0.000
La2 0.500 0.000 0.000
Sc1 0.000 0.000 0.500
Tl1 0.500 0.500 0.500
C1 0.000 0.000 0.000
# Formation energy from the elements = -32.90 kJ per mole of atoms

---

6.
# HoZn4Bi, optimized geometry, DFT PBE
data_HoZn4Bi
_symmetry_space_group_name_H-M 'P 1'
_symmetry_Int_Tables_number 1
_cell_length_a 5.539
_cell_length_b 5.539
_cell_length_c 5.539
_cell_angle_alpha 60.00
_cell_angle_beta 60.00
_cell_angle_gamma 60.00
loop_
_symmetry_equiv_pos_as_xyz
'x,y,z'
loop_
_atom_site_label
_atom_site_fract_x
_atom_site_fract_y
_atom_site_fract_z
Ho1 0.000 0.000 0.000
Zn1 0.373 0.373 0.373
Zn2 0.373 0.373 0.880
Zn3 0.373 0.880 0.373
Zn4 0.880 0.373 0.373
Bi1 0.750 0.750 0.750
# Formation energy from the elements = -10.60 kJ per mole of atoms

---

Number 1: uncorrected energy -3.490 eV/atom. Number 2: uncorrected energy -6.011 eV/atom. Number 3: uncorrected energy -2.987 eV/atom. Number 4: uncorrected energy -7.582 eV/atom. Number 5: uncorrected energy -5.896 eV/atom. Number 6: uncorrected energy -2.369 eV/atom.